TiCuSCl2 | PBE | optimized geometry

a = 4.5672 Å, b = 4.5672 Å, c = 4.7734 Å
α = 90.00°, β = 90.00°, γ = 90.00°
Last column: nearest neighbours and their distance in Å.
Fractional positions:
1 Ti 0.0000 0.0000 0.0000  4 S 3.23, 8 Cl 3.30
2 Cu 0.5000 0.5000 0.5000  4 Cl 2.28, 2 S 2.39
3 S 0.5000 0.5000 0.0000  2 Cu 2.39
4 Cl 0.0000 0.5000 0.5000  2 Cu 2.28
5 Cl 0.5000 0.0000 0.5000  2 Cu 2.28

Calculated values
The value obtained for the energy above the most stable polymorph in this dataset is 430 meV per atom. The calculation puts the formation energy from raw total energies at -0.23 eV/f.u. The total magnetization comes out at 1.86 Bohr magnetons per cell. The calculation puts the total energy at -4.01 eV/atom.